Record 1
Density functional theory data (PBE) for a relaxed structure of PuRu2O8.

* magnetic moment: 0.2 μB/f.u.
* energy relative to the elements, uncorrected: -1259 meV per atom
* space-group type: No. 12

Cell and atoms, written as POSCAR:
```
PuRu2O8
1.0
-0.431 -3.236 2.306
5.552 -1.836 -1.588
4.216 2.164 3.777
Pu Ru O
1 2 8
direct
0.000 0.000 0.000
0.249 0.620 0.620
0.751 0.380 0.380
0.242 0.883 0.312
0.242 0.312 0.883
0.758 0.117 0.688
0.251 0.416 0.416
0.758 0.688 0.117
0.253 0.800 0.800
0.747 0.200 0.200
0.749 0.584 0.584
```

Record 2
Density functional theory data (PBE) for a relaxed structure of ZrTcRhPb2.

* magnetic moment: 0.0 μB/f.u.
* space-group type: No. 123
* formation energy: 0.791 eV/atom

Cell and atoms, written as POSCAR:
```
ZrTcRhPb2
1.0
-0.309 4.952 1.517
-4.841 -0.456 0.503
0.651 -1.470 4.933
Pb Rh Tc Zr
2 1 1 1
direct
0.000 0.000 0.500
0.500 0.000 0.000
0.500 0.500 0.500
0.000 0.000 0.000
0.000 0.500 0.000
```

Record 3
Density functional theory data (PBE) for a relaxed structure of In2ReCl.

* magnetic moment: 1.9 μB/f.u.
* energy relative to the elements, uncorrected: 945 meV per atom
* space-group type: No. 216
* ΔE to the lowest computed polymorph: 674 meV per atom

Cell and atoms, written as POSCAR:
```
In2ReCl
1.0
4.899 0.000 0.000
2.449 4.242 0.000
2.449 1.414 4.000
Re Cl In
1 1 2
direct
0.750 0.750 0.750
0.500 0.500 0.500
0.000 0.000 0.000
0.250 0.250 0.250
```

Record 4
Density functional theory data (PBE) for a relaxed structure of Re2WSe.

* magnetic moment: 0.0 μB/f.u.
* energy relative to the elements, uncorrected: 456 meV per atom
* space-group type: No. 8

Cell and atoms, written as POSCAR:
```
Re2WSe
1.0
4.942 -0.012 0.313
4.037 2.851 0.313
0.956 0.302 4.509
Re Se W
2 1 1
direct
0.011 0.011 0.922
0.747 0.747 0.802
0.495 0.495 0.479
0.247 0.247 0.297
```

Record 5
Density functional theory data (PBE) for a relaxed structure of Li2WAu.

* magnetic moment: 0.0 μB/f.u.
* space-group type: No. 44
* formation energy: 0.377 eV/atom
* ΔE to the lowest computed polymorph: 285 meV per atom

Cell and atoms, written as POSCAR:
```
Li2WAu
1.0
-4.549 -3.041 -0.776
0.079 -4.507 -3.198
1.605 2.846 4.457
Au Li W
1 2 1
direct
0.239 0.739 0.500
0.007 0.007 0.000
0.762 0.262 0.500
0.493 0.493 0.000
```

Record 6
Density functional theory data (PBE) for a relaxed structure of ZnCrSb2.

* magnetic moment: 3.6 μB/f.u.
* energy relative to the elements, uncorrected: 296 meV per atom
* space-group type: No. 12

Cell and atoms, written as POSCAR:
```
ZnCrSb2
1.0
-2.180 3.885 1.886
-2.901 -1.036 -3.729
-2.017 -2.212 2.197
Cr Sb Zn
1 2 1
direct
0.000 0.500 0.500
0.000 0.000 0.000
0.500 0.500 0.000
0.500 0.000 0.500
```

| no. | Fermi-level density of states (states/eV per cell) |
| --- | --- |
| 1 | 8.172 |
| 2 | 5.914 |
| 3 | 5.821 |
| 4 | 1.688 |
| 5 | 3.015 |
| 6 | 1.249 |